[1]
A geometry-optimized Li2FeBS structure. Source: Alexandria via LeMat-Bulk, functional PBE.

Geometry as CIF:
```
data_Li2FeBS
_symmetry_space_group_name_H-M 'P 4/m m m'
_symmetry_Int_Tables_number 123
_symmetry_space_group_name_Hall '-P 4 2'
_cell_length_a 4.149
_cell_length_b 4.149
_cell_length_c 3.787
_cell_angle_alpha 90.00
_cell_angle_beta 90.00
_cell_angle_gamma 90.00
loop_
_atom_site_label
_atom_site_type_symbol
_atom_site_fract_x
_atom_site_fract_y
_atom_site_fract_z
_atom_site_occupancy
Li1 Li 0.000 0.500 0.000 1
Fe1 Fe 0.000 0.000 0.500 1
B1 B 0.000 0.000 0.000 1
S1 S 0.500 0.500 0.500 1
```

The formation energy from raw total energies comes out at 14.0 kJ/mol of atoms.



[2]
A geometry-optimized Be2NbRhBr structure. Source: Alexandria via LeMat-Bulk, functional PBE.

Geometry as CIF:
```
data_Be2NbRhBr
_symmetry_space_group_name_H-M 'P 4/m m m'
_symmetry_Int_Tables_number 123
_symmetry_space_group_name_Hall '-P 4 2'
_cell_length_a 4.216
_cell_length_b 4.216
_cell_length_c 4.715
_cell_angle_alpha 90.00
_cell_angle_beta 90.00
_cell_angle_gamma 90.00
loop_
_atom_site_label
_atom_site_type_symbol
_atom_site_fract_x
_atom_site_fract_y
_atom_site_fract_z
_atom_site_occupancy
Be1 Be 0.000 0.500 0.000 1
Nb1 Nb 0.000 0.000 0.500 1
Rh1 Rh 0.500 0.500 0.500 1
Br1 Br 0.500 0.500 0.000 1
```

The formation energy from raw total energies comes out at 129.1 kJ/mol of atoms.



[3]
A geometry-optimized CePuSc2 structure. Source: Alexandria via LeMat-Bulk, functional PBE.

Geometry as CIF:
```
data_CePuSc2
_symmetry_space_group_name_H-M 'F m -3 m'
_symmetry_Int_Tables_number 225
_symmetry_space_group_name_Hall '-F 4 2 3'
_cell_length_a 7.508
_cell_length_b 7.508
_cell_length_c 7.508
_cell_angle_alpha 90.00
_cell_angle_beta 90.00
_cell_angle_gamma 90.00
loop_
_atom_site_label
_atom_site_type_symbol
_atom_site_fract_x
_atom_site_fract_y
_atom_site_fract_z
_atom_site_occupancy
Ce1 Ce 0.000 0.000 0.000 1
Pu1 Pu 0.000 0.000 0.500 1
Sc1 Sc 0.250 0.250 0.250 1
```

Its energy above the most stable polymorph in this dataset is 87.7 meV per atom. The energy relative to the elements is 0.194 eV per atom.



[4]
A geometry-optimized HoU6 structure. Source: Alexandria via LeMat-Bulk, functional PBE.

Geometry as CIF:
```
data_HoU6
_symmetry_space_group_name_H-M 'I m -3 m'
_symmetry_Int_Tables_number 229
_symmetry_space_group_name_Hall '-I 4 2 3'
_cell_length_a 7.114
_cell_length_b 7.114
_cell_length_c 7.114
_cell_angle_alpha 90.00
_cell_angle_beta 90.00
_cell_angle_gamma 90.00
loop_
_atom_site_label
_atom_site_type_symbol
_atom_site_fract_x
_atom_site_fract_y
_atom_site_fract_z
_atom_site_occupancy
Ho1 Ho 0.000 0.000 0.000 1
U1 U 0.000 0.250 0.500 1
```

The energy relative to the elements is 0.807 eV per atom.



[5]
A geometry-optimized TbTlCl4 structure. Source: Alexandria via LeMat-Bulk, functional PBE.

Geometry as CIF:
```
data_TbTlCl4
_symmetry_space_group_name_H-M 'P 1 21/c 1'
_symmetry_Int_Tables_number 14
_symmetry_space_group_name_Hall '-P 2ybc'
_cell_length_a 7.911
_cell_length_b 6.929
_cell_length_c 7.330
_cell_angle_alpha 90.00
_cell_angle_beta 99.89
_cell_angle_gamma 90.00
loop_
_atom_site_label
_atom_site_type_symbol
_atom_site_fract_x
_atom_site_fract_y
_atom_site_fract_z
_atom_site_occupancy
Tb1 Tb 0.000 0.000 0.000 1
Tl1 Tl 0.500 0.000 0.500 1
Cl1 Cl 0.101 0.185 0.711 1
Cl2 Cl 0.313 0.624 0.599 1
```

Its energy above the most stable polymorph in this dataset is 27.3 meV per atom. The formation energy from raw total energies comes out at -179.1 kJ/mol of atoms.



[6]
A geometry-optimized Ho2Er3Cd structure. Source: Alexandria via LeMat-Bulk, functional PBE.

Geometry as CIF:
```
data_Ho2Er3Cd
_symmetry_space_group_name_H-M 'I m m 2'
_symmetry_Int_Tables_number 44
_symmetry_space_group_name_Hall 'I 2 -2'
_cell_length_a 3.311
_cell_length_b 9.836
_cell_length_c 11.484
_cell_angle_alpha 90.00
_cell_angle_beta 90.00
_cell_angle_gamma 90.00
loop_
_atom_site_label
_atom_site_type_symbol
_atom_site_fract_x
_atom_site_fract_y
_atom_site_fract_z
_atom_site_occupancy
Ho1 Ho 0.000 0.172 0.000 1
Er1 Er 0.000 0.000 0.717 1
Er2 Er 0.000 0.338 0.749 1
Cd1 Cd 0.000 0.500 0.984 1
```

Its energy above the most stable polymorph in this dataset is 432.0 meV per atom. The energy relative to the elements is 0.343 eV per atom.



[7]
A geometry-optimized LiSmAsPt3 structure. Source: Alexandria via LeMat-Bulk, functional PBE.

Geometry as CIF:
```
data_LiSmAsPt3
_symmetry_space_group_name_H-M 'C m c m'
_symmetry_Int_Tables_number 63
_symmetry_space_group_name_Hall '-C 2c 2'
_cell_length_a 6.594
_cell_length_b 11.756
_cell_length_c 5.637
_cell_angle_alpha 90.00
_cell_angle_beta 90.00
_cell_angle_gamma 90.00
loop_
_atom_site_label
_atom_site_type_symbol
_atom_site_fract_x
_atom_site_fract_y
_atom_site_fract_z
_atom_site_occupancy
Li1 Li 0.000 0.059 0.250 1
Sm1 Sm 0.000 0.296 0.250 1
As1 As 0.000 0.366 0.750 1
Pt1 Pt 0.000 0.159 0.750 1
Pt2 Pt 0.218 0.500 0.000 1
```

The energy relative to the elements is -0.614 eV per atom.



[8]
A geometry-optimized NdY3Ni2 structure. Source: Alexandria via LeMat-Bulk, functional PBE.

Geometry as CIF:
```
data_NdY3Ni2
_symmetry_space_group_name_H-M 'C 1 2/m 1'
_symmetry_Int_Tables_number 12
_symmetry_space_group_name_Hall '-C 2y'
_cell_length_a 16.281
_cell_length_b 3.917
_cell_length_c 11.590
_cell_angle_alpha 90.00
_cell_angle_beta 123.64
_cell_angle_gamma 90.00
loop_
_atom_site_label
_atom_site_type_symbol
_atom_site_fract_x
_atom_site_fract_y
_atom_site_fract_z
_atom_site_occupancy
Nd1 Nd 0.152 0.000 0.246 1
Y1 Y 0.081 0.500 0.443 1
Y2 Y 0.083 0.500 0.938 1
Y3 Y 0.154 0.000 0.747 1
Ni1 Ni 0.232 0.000 0.047 1
Ni2 Ni 0.232 0.000 0.549 1
```

The energy relative to the elements is -0.259 eV per atom.



[9]
A geometry-optimized Ba2Ga5Ag structure. Source: Alexandria via LeMat-Bulk, functional PBE.

Geometry as CIF:
```
data_Ba2Ga5Ag
_symmetry_space_group_name_H-M 'C m c m'
_symmetry_Int_Tables_number 63
_symmetry_space_group_name_Hall '-C 2c 2'
_cell_length_a 4.447
_cell_length_b 19.759
_cell_length_c 9.516
_cell_angle_alpha 90.00
_cell_angle_beta 90.00
_cell_angle_gamma 90.00
loop_
_atom_site_label
_atom_site_type_symbol
_atom_site_fract_x
_atom_site_fract_y
_atom_site_fract_z
_atom_site_occupancy
Ba1 Ba 0.000 0.000 0.000 1
Ba2 Ba 0.000 0.213 0.250 1
Ga1 Ga 0.000 0.171 0.616 1
Ga2 Ga 0.000 0.362 0.507 1
Ga3 Ga 0.000 0.422 0.250 1
Ag1 Ag 0.000 0.432 0.750 1
```

The energy relative to the elements is -0.384 eV per atom.



[10]
A geometry-optimized Pm3NiGe structure. Source: Alexandria via LeMat-Bulk, functional PBE.

Geometry as CIF:
```
data_Pm3NiGe
_symmetry_space_group_name_H-M 'P 1 21/c 1'
_symmetry_Int_Tables_number 14
_symmetry_space_group_name_Hall '-P 2ybc'
_cell_length_a 11.075
_cell_length_b 6.060
_cell_length_c 8.263
_cell_angle_alpha 90.00
_cell_angle_beta 108.30
_cell_angle_gamma 90.00
loop_
_atom_site_label
_atom_site_type_symbol
_atom_site_fract_x
_atom_site_fract_y
_atom_site_fract_z
_atom_site_occupancy
Pm1 Pm 0.092 0.120 0.219 1
Pm2 Pm 0.282 0.620 0.443 1
Pm3 Pm 0.400 0.105 0.637 1
Ni1 Ni 0.349 0.008 0.292 1
Ge1 Ge 0.104 0.612 0.078 1
```

The energy relative to the elements is -0.411 eV per atom.



[11]
A geometry-optimized YBeW2 structure. Source: Alexandria via LeMat-Bulk, functional PBE.

Geometry as CIF:
```
data_YBeW2
_symmetry_space_group_name_H-M 'I m m m'
_symmetry_Int_Tables_number 71
_symmetry_space_group_name_Hall '-I 2 2'
_cell_length_a 2.675
_cell_length_b 4.749
_cell_length_c 10.664
_cell_angle_alpha 90.00
_cell_angle_beta 90.00
_cell_angle_gamma 90.00
loop_
_atom_site_label
_atom_site_type_symbol
_atom_site_fract_x
_atom_site_fract_y
_atom_site_fract_z
_atom_site_occupancy
Y1 Y 0.000 0.000 0.000 1
Be1 Be 0.000 0.000 0.500 1
W1 W 0.000 0.500 0.199 1
```

The energy relative to the elements is 0.442 eV per atom.



[12]
A geometry-optimized Ac8Ni3Pt structure. Source: Alexandria via LeMat-Bulk, functional PBE.

Geometry as CIF:
```
data_Ac8Ni3Pt
_symmetry_space_group_name_H-M 'C 1 2/m 1'
_symmetry_Int_Tables_number 12
_symmetry_space_group_name_Hall '-C 2y'
_cell_length_a 14.333
_cell_length_b 8.722
_cell_length_c 8.387
_cell_angle_alpha 90.00
_cell_angle_beta 122.45
_cell_angle_gamma 90.00
loop_
_atom_site_label
_atom_site_type_symbol
_atom_site_fract_x
_atom_site_fract_y
_atom_site_fract_z
_atom_site_occupancy
Ac1 Ac 0.007 0.244 0.251 1
Ac2 Ac 0.244 0.000 0.254 1
Ac3 Ac 0.249 0.500 0.261 1
Ni1 Ni 0.000 0.000 0.000 1
Ni2 Ni 0.250 0.250 0.500 1
Pt1 Pt 0.000 0.500 0.000 1
```

The energy relative to the elements is -0.313 eV per atom.



[13]
A geometry-optimized MgInCoN structure. Source: Alexandria via LeMat-Bulk, functional PBE.

Geometry as CIF:
```
data_MgInCoN
_symmetry_space_group_name_H-M 'R 3 m'
_symmetry_Int_Tables_number 160
_symmetry_space_group_name_Hall 'R 3 -2"'
_cell_length_a 3.0798
_cell_length_b 3.0798
_cell_length_c 20.5632
_cell_angle_alpha 90.00
_cell_angle_beta 90.00
_cell_angle_gamma 120.00
loop_
_atom_site_label
_atom_site_type_symbol
_atom_site_fract_x
_atom_site_fract_y
_atom_site_fract_z
_atom_site_occupancy
Mg1 Mg 0.0000 0.0000 0.0000 1
In1 In 0.0000 0.0000 0.4568 1
Co1 Co 0.0000 0.0000 0.2325 1
N1 N 0.0000 0.0000 0.6068 1
```

Its energy above the most stable polymorph in this dataset is 56.5 meV per atom. The formation energy from raw total energies comes out at -4.4 kJ/mol of atoms.



[14]
A geometry-optimized CrRu2Br structure. Source: Alexandria via LeMat-Bulk, functional PBE.

Geometry as CIF:
```
data_CrRu2Br
_symmetry_space_group_name_H-M 'R -3 m'
_symmetry_Int_Tables_number 166
_symmetry_space_group_name_Hall '-R 3 2"'
_cell_length_a 2.8528
_cell_length_b 2.8528
_cell_length_c 25.9748
_cell_angle_alpha 90.00
_cell_angle_beta 90.00
_cell_angle_gamma 120.00
loop_
_atom_site_label
_atom_site_type_symbol
_atom_site_fract_x
_atom_site_fract_y
_atom_site_fract_z
_atom_site_occupancy
Cr1 Cr 0.0000 0.0000 0.0000 1
Ru1 Ru 0.0000 0.0000 0.2596 1
Br1 Br 0.0000 0.0000 0.5000 1
```

Its energy above the most stable polymorph in this dataset is 62.7 meV per atom. The formation energy from raw total energies comes out at 55.8 kJ/mol of atoms.



[15]
A geometry-optimized HgSb2Br structure. Source: Alexandria via LeMat-Bulk, functional PBE.

Geometry as CIF:
```
data_HgSb2Br
_symmetry_space_group_name_H-M 'P 4/m m m'
_symmetry_Int_Tables_number 123
_symmetry_space_group_name_Hall '-P 4 2'
_cell_length_a 4.185
_cell_length_b 4.185
_cell_length_c 7.985
_cell_angle_alpha 90.00
_cell_angle_beta 90.00
_cell_angle_gamma 90.00
loop_
_atom_site_label
_atom_site_type_symbol
_atom_site_fract_x
_atom_site_fract_y
_atom_site_fract_z
_atom_site_occupancy
Hg1 Hg 0.000 0.000 0.000 1
Sb1 Sb 0.000 0.500 0.500 1
Br1 Br 0.500 0.500 0.000 1
```

Its energy above the most stable polymorph in this dataset is 314.6 meV per atom. The formation energy from raw total energies comes out at 18.8 kJ/mol of atoms.



Sequential calculated total energy output: -4.474; -3.971; -8.039; -9.523; -4.254; -3.617; -5.515; -6.213; -3.113; -5.341; -8.582; -5.001; -4.987; -6.884; -2.360 eV per atom